VASP calculation (PBE-GGA) on a relaxed InW crystal.

The structure in POSCAR format:
```
InW
1.0
1.5617 5.6628 0.0251
-1.5617 5.6628 0.0251
0.0000 1.8060 6.6871
In W
3 3
direct
0.3403 0.3403 0.3439
0.6661 0.6661 0.6983
0.6104 0.6104 0.2476
0.9705 0.9705 0.9724
0.9482 0.9482 0.6211
0.2979 0.2979 0.9500
```

Results
Offset from the most stable computed form = 0.36 eV per formula unit
E_form = 0.582 eV/atom
Density of states at the Fermi level = 1.35 states/eV/f.u.